! Na2Tl5Hg3, relaxed, DFT PBE; values from VASP
&SYSTEM
  ibrav = 0, nat = 20, ntyp = 3
/
ATOMIC_SPECIES
Na 22.99 Na.upf
Tl 204.38 Tl.upf
Hg 200.59 Hg.upf
ATOMIC_POSITIONS crystal
Na 0.1217 0.6288 0.8738
Na 0.3712 0.8783 0.6262
Na 0.6288 0.1217 0.3738
Na 0.8783 0.3712 0.1262
Tl 0.0429 0.9571 0.7500
Tl 0.2113 0.3027 0.9918
Tl 0.2262 0.5256 0.3797
Tl 0.3027 0.2113 0.4918
Tl 0.4744 0.7738 0.1203
Tl 0.5256 0.2262 0.8797
Tl 0.6973 0.7887 0.5082
Tl 0.7738 0.4744 0.6203
Tl 0.7887 0.6973 0.0082
Tl 0.9571 0.0429 0.2500
Hg 0.0269 0.7285 0.3758
Hg 0.2715 0.9731 0.1242
Hg 0.4436 0.5564 0.7500
Hg 0.5564 0.4436 0.2500
Hg 0.7285 0.0269 0.8758
Hg 0.9731 0.2715 0.6242
CELL_PARAMETERS angstrom
5.7404 -7.6052 0.0000
5.7404 7.6052 0.0000
-0.4127 0.0000 6.5997
! Space group: C2/c, No. 15
! Magnetic moment, μB per formula unit: 0.00
! Raw total energy, eV/atom: -1.6198
! DFT formation energy, eV per atom: -0.082